# Tl3IrPd, relaxed, DFT PBE
# E above lowest polymorph: 0 meV per atom
# E: -3.776 eV per atom
# Energy of formation: 454 meV/atom
data_Tl3IrPd
_cell_length_a 5.240
_cell_length_b 5.240
_cell_length_c 5.240
_cell_angle_alpha 90.00
_cell_angle_beta 90.00
_cell_angle_gamma 90.00
_symmetry_space_group_name_H-M 'P m -3 m'
_symmetry_Int_Tables_number 221
_symmetry_space_group_name_Hall '-P 4 2 3'
loop_
_atom_site_label
_atom_site_fract_x
_atom_site_fract_y
_atom_site_fract_z
_atom_site_occupancy
Tl1 0.000 0.000 0.500 1
Ir1 0.000 0.000 0.000 1
Pd1 0.500 0.500 0.500 1


# Al3Cd2Ag8, relaxed, DFT PBE
# E: -2.762 eV per atom
# Energy of formation: -3 meV/atom
data_Al3Cd2Ag8
_cell_length_a 9.423
_cell_length_b 2.982
_cell_length_c 9.773
_cell_angle_alpha 90.00
_cell_angle_beta 118.62
_cell_angle_gamma 90.00
_symmetry_space_group_name_H-M 'P 1 2/m 1'
_symmetry_Int_Tables_number 10
loop_
_symmetry_equiv_pos_as_xyz
'x,y,z'
'-x,-y,-z'
'-x,y,-z'
'x,-y,z'
loop_
_atom_site_label
_atom_site_fract_x
_atom_site_fract_y
_atom_site_fract_z
_atom_site_occupancy
Al1 0.000 0.000 0.000 1
Al2 0.066 0.500 0.769 1
Cd1 0.469 0.000 0.638 1
Ag1 0.169 0.500 0.553 1
Ag2 0.206 0.000 0.309 1
Ag3 0.289 0.500 0.086 1
Ag4 0.348 0.000 0.858 1


# Dy2ScAl, relaxed, DFT PBE
# E above lowest polymorph: 100 meV per atom
# E: -4.928 eV per atom
# Energy of formation: -109 meV/atom
data_Dy2ScAl
_cell_length_a 7.394
_cell_length_b 7.394
_cell_length_c 7.394
_cell_angle_alpha 90.00
_cell_angle_beta 90.00
_cell_angle_gamma 90.00
_symmetry_space_group_name_H-M 'F m -3 m'
_symmetry_Int_Tables_number 225
_symmetry_space_group_name_Hall '-F 4 2 3'
loop_
_atom_site_label
_atom_site_fract_x
_atom_site_fract_y
_atom_site_fract_z
_atom_site_occupancy
Dy1 0.250 0.250 0.250 1
Sc1 0.000 0.000 0.000 1
Al1 0.000 0.000 0.500 1


# Rb2WAuI6, relaxed, DFT PBE
# Uncorrected formation energy: -454 meV/atom
# E: -3.201 eV per atom
data_Rb2WAuI6
_cell_length_a 8.495
_cell_length_b 8.495
_cell_length_c 11.265
_cell_angle_alpha 90.00
_cell_angle_beta 90.00
_cell_angle_gamma 90.00
_symmetry_space_group_name_H-M 'I 4/m m m'
_symmetry_Int_Tables_number 139
_symmetry_space_group_name_Hall '-I 4 2'
loop_
_atom_site_label
_atom_site_fract_x
_atom_site_fract_y
_atom_site_fract_z
_atom_site_occupancy
Rb1 0.000 0.500 0.250 1
W1 0.000 0.000 0.000 1
Au1 0.000 0.000 0.500 1
I1 0.000 0.000 0.253 1
I2 0.233 0.233 0.000 1


# Mg5In2Sn4, relaxed, DFT PBE
# E: -2.725 eV per atom
# Energy of formation: -47 meV/atom
data_Mg5In2Sn4
_cell_length_a 8.868
_cell_length_b 3.472
_cell_length_c 9.319
_cell_angle_alpha 90.00
_cell_angle_beta 101.47
_cell_angle_gamma 90.00
_symmetry_space_group_name_H-M 'P 1 2/m 1'
_symmetry_Int_Tables_number 10
loop_
_symmetry_equiv_pos_as_xyz
'x,y,z'
'-x,-y,-z'
'-x,y,-z'
'x,-y,z'
loop_
_atom_site_label
_atom_site_fract_x
_atom_site_fract_y
_atom_site_fract_z
_atom_site_occupancy
Mg1 0.000 0.000 0.000 1
Mg2 0.026 0.000 0.664 1
Mg3 0.469 0.000 0.161 1
In1 0.320 0.000 0.528 1
Sn1 0.219 0.500 0.228 1
Sn2 0.256 0.500 0.876 1


# Cs3Ho2ScSe6, relaxed, DFT PBE
# Uncorrected formation energy: -1667 meV/atom
# E: -4.913 eV per atom
data_Cs3Ho2ScSe6
_cell_length_a 7.262
_cell_length_b 12.577
_cell_length_c 8.684
_cell_angle_alpha 90.00
_cell_angle_beta 106.19
_cell_angle_gamma 90.00
_symmetry_space_group_name_H-M 'C 1 2/m 1'
_symmetry_Int_Tables_number 12
loop_
_symmetry_equiv_pos_as_xyz
'x,y,z'
'-x,-y,-z'
'-x,y,-z'
'x,-y,z'
'x+1/2,y+1/2,z'
'-x+1/2,-y+1/2,-z'
'-x+1/2,y+1/2,-z'
'x+1/2,-y+1/2,z'
loop_
_atom_site_label
_atom_site_fract_x
_atom_site_fract_y
_atom_site_fract_z
_atom_site_occupancy
Cs1 0.000 0.000 0.000 1
Cs2 0.000 0.331 0.000 1
Ho1 0.000 0.166 0.500 1
Sc1 0.000 0.500 0.500 1
Se1 0.222 0.339 0.682 1
Se2 0.238 0.000 0.683 1


# Pu2HgCl, relaxed, DFT PBE
# E above lowest polymorph: 0 meV per atom
# Uncorrected formation energy: -528 meV/atom
# E: -8.231 eV per atom
data_Pu2HgCl
_cell_length_a 3.291
_cell_length_b 3.291
_cell_length_c 8.865
_cell_angle_alpha 90.00
_cell_angle_beta 90.00
_cell_angle_gamma 90.00
_symmetry_space_group_name_H-M 'P 4/m m m'
_symmetry_Int_Tables_number 123
_symmetry_space_group_name_Hall '-P 4 2'
loop_
_atom_site_label
_atom_site_fract_x
_atom_site_fract_y
_atom_site_fract_z
_atom_site_occupancy
Pu1 0.000 0.000 0.240 1
Hg1 0.500 0.500 0.500 1
Cl1 0.500 0.500 0.000 1


# HfPa5, relaxed, DFT PBE
# E above lowest polymorph: 0 meV per atom
# E: -9.537 eV per atom
# Energy of formation: 35 meV/atom
data_HfPa5
_cell_length_a 12.119
_cell_length_b 3.213
_cell_length_c 7.900
_cell_angle_alpha 90.00
_cell_angle_beta 108.47
_cell_angle_gamma 90.00
_symmetry_space_group_name_H-M 'C 1 m 1'
_symmetry_Int_Tables_number 8
loop_
_symmetry_equiv_pos_as_xyz
'x,y,z'
'x,-y,z'
'x+1/2,y+1/2,z'
'x+1/2,-y+1/2,z'
loop_
_atom_site_label
_atom_site_fract_x
_atom_site_fract_y
_atom_site_fract_z
_atom_site_occupancy
Hf1 0.000 0.000 0.000 1
Pa1 0.000 0.000 0.502 1
Pa2 0.169 0.500 0.336 1
Pa3 0.172 0.500 0.835 1
Pa4 0.330 0.000 0.168 1
Pa5 0.331 0.000 0.664 1


# ScRe2, relaxed, DFT PBE
# E: -9.758 eV per atom
# Energy of formation: 651 meV/atom
data_ScRe2
_cell_length_a 6.4838
_cell_length_b 6.4838
_cell_length_c 4.2927
_cell_angle_alpha 90.00
_cell_angle_beta 90.00
_cell_angle_gamma 120.00
_symmetry_space_group_name_H-M 'P -6 2 m'
_symmetry_Int_Tables_number 189
_symmetry_space_group_name_Hall 'P -6 -2'
loop_
_atom_site_label
_atom_site_fract_x
_atom_site_fract_y
_atom_site_fract_z
_atom_site_occupancy
Sc1 0.0000 0.0000 0.0000 1
Sc2 0.3333 0.6667 0.5000 1
Re1 0.0000 0.2322 0.5000 1
Re2 0.0000 0.4936 0.0000 1


# MnCdHg2, relaxed, DFT PBE
# E: -2.431 eV per atom
# Energy of formation: 241 meV/atom
data_MnCdHg2
_cell_length_a 3.3501
_cell_length_b 3.3501
_cell_length_c 26.6925
_cell_angle_alpha 90.00
_cell_angle_beta 90.00
_cell_angle_gamma 120.00
_symmetry_space_group_name_H-M 'R -3 m'
_symmetry_Int_Tables_number 166
_symmetry_space_group_name_Hall '-R 3 2"'
loop_
_atom_site_label
_atom_site_fract_x
_atom_site_fract_y
_atom_site_fract_z
_atom_site_occupancy
Mn1 0.0000 0.0000 0.0000 1
Cd1 0.0000 0.0000 0.5000 1
Hg1 0.0000 0.0000 0.2557 1


# Cs2GaGeI6, relaxed, DFT PBE
# Uncorrected formation energy: -826 meV/atom
# E: -2.691 eV per atom
data_Cs2GaGeI6
_cell_length_a 8.445
_cell_length_b 8.445
_cell_length_c 11.881
_cell_angle_alpha 90.00
_cell_angle_beta 90.00
_cell_angle_gamma 90.00
_symmetry_space_group_name_H-M 'I 4/m m m'
_symmetry_Int_Tables_number 139
_symmetry_space_group_name_Hall '-I 4 2'
loop_
_atom_site_label
_atom_site_fract_x
_atom_site_fract_y
_atom_site_fract_z
_atom_site_occupancy
Cs1 0.000 0.500 0.250 1
Ga1 0.000 0.000 0.000 1
Ge1 0.000 0.000 0.500 1
I1 0.000 0.000 0.249 1
I2 0.250 0.250 0.000 1


# PtCl3, relaxed, DFT PBE
# Uncorrected formation energy: 175 meV/atom
# E: -2.720 eV per atom
data_PtCl3
_cell_length_a 3.0140
_cell_length_b 3.0140
_cell_length_c 34.7423
_cell_angle_alpha 90.00
_cell_angle_beta 90.00
_cell_angle_gamma 120.00
_symmetry_space_group_name_H-M 'R -3 m'
_symmetry_Int_Tables_number 166
_symmetry_space_group_name_Hall '-R 3 2"'
loop_
_atom_site_label
_atom_site_fract_x
_atom_site_fract_y
_atom_site_fract_z
_atom_site_occupancy
Pt1 0.0000 0.0000 0.0000 1
Cl1 0.0000 0.0000 0.0641 1
Cl2 0.0000 0.0000 0.5000 1